[1]
6
Lattice="0.0000 3.7963 3.7963 3.7963 0.0000 3.7963 3.7963 3.7963 0.0000" Properties=species:S:1:pos:R:3 comment="ThNpRh4 PBE-GGA optimized geometry" ef_kcal_per_mol_atoms=-12.61 crystal_system=cubic pbc="T T T"
Th 0.0000 0.0000 0.0000
Np 5.6945 5.6945 5.6945
Rh 2.8522 2.8522 2.8522
Rh 4.7405 4.7405 2.8522
Rh 4.7405 2.8522 4.7405
Rh 2.8522 4.7405 4.7405



[2]
5
Lattice="5.1131 0.0000 0.0000 0.0000 5.1131 0.0000 0.0000 0.0000 3.7611" Properties=species:S:1:pos:R:3 comment="Ca2TlHRh PBE-GGA optimized geometry" crystal_system=tetragonal e_tot_ev_per_cell=-19.2 pbc="T T T"
Ca 0.0000 2.5566 0.0000
Ca 2.5566 0.0000 0.0000
Tl 0.0000 0.0000 1.8806
H 2.5566 2.5566 0.0000
Rh 2.5566 2.5566 1.8806



[3]
12
Lattice="3.1016 -5.3674 0.0000 3.1016 5.3674 0.0000 -2.0663 0.0000 11.6410" Properties=species:S:1:pos:R:3 comment="Tb2Pm3Dy6Th PBE-GGA optimized geometry" ef_kcal_per_mol_atoms=0.47 crystal_system=monoclinic pbc="T T T"
Tb 3.1016 3.5778 0.0000
Tb 3.1016 -3.5778 0.0000
Pm -1.0332 0.0000 5.8205
Pm 2.0684 1.7939 5.8205
Pm 2.0684 -1.7939 5.8205
Dy 0.0090 1.7709 8.7633
Dy 1.0590 0.0000 2.8776
Dy 0.0090 -1.7709 8.7633
Dy 4.1278 1.7709 2.8777
Dy 3.0778 0.0000 8.7633
Dy 4.1278 -1.7709 2.8777
Th 3.1016 0.0000 0.0000



[4]
18
Lattice="4.2623 2.4609 5.2500 -4.2623 2.4609 5.2500 0.0000 -4.9217 5.2500" Properties=species:S:1:pos:R:3 comment="Sm2Zn3InCu12 PBE-GGA optimized geometry" ef_kcal_per_mol_atoms=6.53 crystal_system=trigonal pbc="T T T"
Sm 0.0000 0.0000 1.5980
Sm 0.0000 0.0000 14.1518
Zn -2.1312 -1.2304 5.2500
Zn -2.1312 1.2304 10.4999
Zn 0.0000 2.4609 5.2499
In 0.0000 0.0000 7.8749
Cu 0.0000 -1.9613 3.8720
Cu -1.6986 0.9807 3.8720
Cu -2.1645 -1.2497 7.6907
Cu 0.0000 -2.4993 8.0591
Cu -2.1645 1.2497 8.0591
Cu -1.6986 -0.9807 11.8779
Cu 1.6986 0.9807 3.8720
Cu 2.1645 -1.2497 7.6907
Cu 0.0000 2.4993 7.6907
Cu 2.1645 1.2497 8.0591
Cu 1.6986 -0.9807 11.8779
Cu 0.0000 1.9613 11.8779



[5]
5
Lattice="3.6631 0.0000 0.0000 0.0000 3.6631 0.0000 0.0000 0.0000 3.6631" Properties=species:S:1:pos:R:3 comment="YH3Rh PBE-GGA optimized geometry" crystal_system=cubic e_tot_ev_per_cell=-26.8 pbc="T T T"
Y 0.0000 0.0000 0.0000
H 0.0000 1.8316 1.8316
H 1.8316 0.0000 1.8316
H 1.8316 1.8316 0.0000
Rh 1.8316 1.8316 1.8316



[6]
4
Lattice="3.2921 0.0000 0.0000 0.0000 3.2921 0.0000 0.0000 0.0000 7.5116" Properties=species:S:1:pos:R:3 comment="FeCuSb2 PBE-GGA optimized geometry" formation_energy_uncorrected_ev_per_atom=0.190 crystal_system=tetragonal pbc="T T T"
Fe 0.0000 0.0000 0.0000
Cu 1.6460 1.6460 6.2508
Sb 0.0000 0.0000 4.7551
Sb 1.6460 1.6460 1.4538



[7]
7
Lattice="-1.9711 1.9711 7.0107 1.9711 -1.9711 7.0107 1.9711 1.9711 -7.0107" Properties=species:S:1:pos:R:3 comment="Sc2Cr4B PBE-GGA optimized geometry" ef_kcal_per_mol_atoms=10.71 crystal_system=tetragonal pbc="T T T"
Sc 0.0000 0.0000 2.1124
Sc 0.0000 0.0000 11.9090
Cr 1.9711 0.0000 0.0000
Cr 0.0000 0.0000 4.9983
Cr 0.0000 1.9711 0.0000
Cr 0.0000 0.0000 9.0231
B 0.0000 0.0000 7.0107



[8]
6
Lattice="3.7452 0.0000 0.0000 0.0000 4.1158 0.0000 0.0000 0.0000 7.6091" Properties=species:S:1:pos:R:3 comment="LaBeP PBE-GGA optimized geometry" polymorph_energy_ev_per_atom=0.1589 ef_kcal_per_mol_atoms=-19.36 crystal_system=orthorhombic pbc="T T T"
La 0.0000 0.0000 0.0000
La 1.8726 0.0000 3.8046
Be 0.0000 2.0579 2.6144
Be 0.0000 2.0579 4.9947
P 1.8726 2.0579 1.5773
P 1.8726 2.0579 6.0319



[9]
4
Lattice="1.3672 0.7894 11.8961 -1.3672 0.7894 11.8961 0.0000 -1.5787 11.8961" Properties=species:S:1:pos:R:3 comment="RhS2Cl PBE-GGA optimized geometry" polymorph_energy_ev_per_atom=0.6711 formation_energy_uncorrected_ev_per_atom=0.360 crystal_system=trigonal pbc="T T T"
Rh 0.0000 0.0000 0.0000
S 0.0000 0.0000 2.2801
S 0.0000 0.0000 33.4082
Cl 0.0000 0.0000 17.8442



[10]
19
Lattice="3.6691 2.1184 3.5639 -3.6691 2.1184 3.5639 0.0000 -4.2367 3.5639" Properties=species:S:1:pos:R:3 comment="Be16CuMo2 PBE-GGA optimized geometry" ef_kcal_per_mol_atoms=-3.76 crystal_system=trigonal pbc="T T T"
Be 0.0000 -2.1058 1.7860
Be -1.8237 1.0529 1.7860
Be 0.0000 0.0000 1.1447
Be -1.7847 -1.0304 5.2096
Be -1.4472 -2.1148 7.1277
Be -2.5551 -0.1959 7.1277
Be 0.0000 -2.0704 5.4810
Be -1.7930 1.0352 5.4810
Be 1.8237 1.0529 1.7860
Be 1.7847 -1.0304 5.2096
Be 0.0000 2.0608 5.2096
Be 1.4472 -2.1148 7.1277
Be -1.1079 2.3107 7.1277
Be 1.7930 1.0352 5.4810
Be 2.5551 -0.1959 7.1277
Be 1.1079 2.3107 7.1277
Cu 0.0000 0.0000 9.6893
Mo 0.0000 0.0000 3.6135
Mo 0.0000 0.0000 7.0235



[11]
12
Lattice="5.7248 -3.8599 0.0000 5.7248 3.8599 0.0000 -3.3924 0.0000 8.8650" Properties=species:S:1:pos:R:3 comment="RbTlIn4 PBE-GGA optimized geometry" polymorph_energy_ev_per_atom=0.0000 ef_kcal_per_mol_atoms=-1.29 crystal_system=monoclinic pbc="T T T"
Rb 1.2458 0.0000 2.4028
Rb 6.8114 0.0000 6.4622
Tl 2.3553 0.0000 5.8453
Tl 5.7018 0.0000 3.0196
In -0.5235 0.0000 6.9736
In 4.3498 1.5454 0.5968
In 4.0286 2.2452 4.4325
In 3.7074 1.5454 8.2682
In 4.3498 -1.5454 0.5968
In 4.0286 -2.2452 4.4325
In 3.7074 -1.5454 8.2682
In 8.5806 0.0000 1.8914



Total magnetic moment list, top to bottom, in μB per formula unit: 3.6 0.0 0.0 0.0 0.0 2.4 4.9 0.0 0.3 0.0 0.0
Calculated volume list, top to bottom, in A^3/atom: 18.24 19.67 32.30 18.36 9.83 20.35 15.57 19.55 19.26 8.75 32.65